1.
DFT (PBE) results for a relaxed structure of Na3La2SmS6.

## Properties
- M_tot: 0.0 μB per formula unit
- Energy relative to the elements, uncorrected: -178 kJ/mol of atoms
- Calculated density: 3.8 g/cm³

CIF file:
```
data_Na3La2SmS6
_chemical_formula_sum 'Na6 La4 Sm2 S12'
_space_group_name_H-M_alt 'C 1 2/m 1'
_space_group_IT_number 12
_cell_length_a 7.243
_cell_length_b 12.544
_cell_length_c 7.085
_cell_angle_alpha 90.00
_cell_angle_beta 109.92
_cell_angle_gamma 90.00
loop_
_space_group_symop_operation_xyz
'x,y,z'
'-x,-y,-z'
'-x,y,-z'
'x,-y,z'
'x+1/2,y+1/2,z'
'-x+1/2,-y+1/2,-z'
'-x+1/2,y+1/2,-z'
'x+1/2,-y+1/2,z'
loop_
_atom_site_label
_atom_site_type_symbol
_atom_site_fract_x
_atom_site_fract_y
_atom_site_fract_z
_atom_site_occupancy
Na1 Na 0.000 0.000 0.000 1
Na2 Na 0.000 0.335 0.000 1
La1 La 0.000 0.167 0.500 1
Sm1 Sm 0.000 0.500 0.500 1
S1 S 0.241 0.337 0.733 1
S2 S 0.249 0.500 0.268 1
```

2.
DFT (PBE) results for a relaxed structure of NaGaTe3.

## Properties
- M_tot: 0.0 μB per formula unit
- Energy relative to the elements, uncorrected: -3 kJ/mol of atoms
- Calculated density: 4.7 g/cm³
- Energy above the lowest structure with this stoichiometry: 330 meV/atom

CIF file:
```
data_NaGaTe3
_chemical_formula_sum 'Na1 Ga1 Te3'
_space_group_name_H-M_alt 'P m -3 m'
_space_group_IT_number 221
_space_group_name_Hall '-P 4 2 3'
_cell_length_a 5.500
_cell_length_b 5.500
_cell_length_c 5.500
_cell_angle_alpha 90.00
_cell_angle_beta 90.00
_cell_angle_gamma 90.00
loop_
_atom_site_label
_atom_site_type_symbol
_atom_site_fract_x
_atom_site_fract_y
_atom_site_fract_z
_atom_site_occupancy
Na1 Na 0.000 0.000 0.000 1
Ga1 Ga 0.500 0.500 0.500 1
Te1 Te 0.000 0.500 0.500 1
```

3.
DFT (PBE) results for a relaxed structure of MgAu.

## Properties
- M_tot: 0.0 μB per formula unit
- Energy of formation: -0.416 eV per atom
- Calculated density: 9.2 g/cm³

CIF file:
```
data_MgAu
_chemical_formula_sum 'Mg1 Au1'
_space_group_name_H-M_alt 'P -6 m 2'
_space_group_IT_number 187
_space_group_name_Hall 'P -6 2'
_cell_length_a 3.4696
_cell_length_b 3.4696
_cell_length_c 3.8248
_cell_angle_alpha 90.00
_cell_angle_beta 90.00
_cell_angle_gamma 120.00
loop_
_atom_site_label
_atom_site_type_symbol
_atom_site_fract_x
_atom_site_fract_y
_atom_site_fract_z
_atom_site_occupancy
Mg1 Mg 0.0000 0.0000 0.0000 1
Au1 Au 0.3333 0.6667 0.5000 1
```

4.
DFT (PBE) results for a relaxed structure of TbSm2Mg4.

## Properties
- M_tot: 0.0 μB per formula unit
- Energy of formation: 0.358 eV per atom
- Calculated density: 4.3 g/cm³
- Energy above the lowest structure with this stoichiometry: 234 meV/atom

CIF file:
```
data_TbSm2Mg4
_chemical_formula_sum 'Tb2 Sm4 Mg8'
_space_group_name_H-M_alt 'C m m m'
_space_group_IT_number 65
_space_group_name_Hall '-C 2 2'
_cell_length_a 6.035
_cell_length_b 13.179
_cell_length_c 5.470
_cell_angle_alpha 90.00
_cell_angle_beta 90.00
_cell_angle_gamma 90.00
loop_
_atom_site_label
_atom_site_type_symbol
_atom_site_fract_x
_atom_site_fract_y
_atom_site_fract_z
_atom_site_occupancy
Tb1 Tb 0.000 0.000 0.000 1
Sm1 Sm 0.000 0.366 0.500 1
Mg1 Mg 0.000 0.116 0.500 1
Mg2 Mg 0.000 0.238 0.000 1
```

5.
DFT (PBE) results for a relaxed structure of MgScTa.

## Properties
- M_tot: 0.0 μB per formula unit
- Energy of formation: 0.427 eV per atom
- Calculated density: 6.5 g/cm³
- Energy above the lowest structure with this stoichiometry: 368 meV/atom

CIF file:
```
data_MgScTa
_chemical_formula_sum 'Mg8 Sc8 Ta8'
_space_group_name_H-M_alt 'F m m m'
_space_group_IT_number 69
_space_group_name_Hall '-F 2 2'
_cell_length_a 5.237
_cell_length_b 8.876
_cell_length_c 10.993
_cell_angle_alpha 90.00
_cell_angle_beta 90.00
_cell_angle_gamma 90.00
loop_
_atom_site_label
_atom_site_type_symbol
_atom_site_fract_x
_atom_site_fract_y
_atom_site_fract_z
_atom_site_occupancy
Mg1 Mg 0.250 0.250 0.250 1
Sc1 Sc 0.000 0.000 0.120 1
Ta1 Ta 0.000 0.178 0.500 1
```

6.
DFT (PBE) results for a relaxed structure of YMn10Fe2.

## Properties
- M_tot: 0.2 μB per formula unit
- Energy of formation: 0.020 eV per atom
- Calculated density: 7.8 g/cm³

CIF file:
```
data_YMn10Fe2
_chemical_formula_sum 'Y4 Mn40 Fe8'
_space_group_name_H-M_alt 'C m c m'
_space_group_IT_number 63
_space_group_name_Hall '-C 2c 2'
_cell_length_a 8.335
_cell_length_b 9.559
_cell_length_c 8.041
_cell_angle_alpha 90.00
_cell_angle_beta 90.00
_cell_angle_gamma 90.00
loop_
_atom_site_label
_atom_site_type_symbol
_atom_site_fract_x
_atom_site_fract_y
_atom_site_fract_z
_atom_site_occupancy
Y1 Y 0.000 0.121 0.250 1
Mn1 Mn 0.000 0.169 0.606 1
Mn2 Mn 0.000 0.396 0.070 1
Mn3 Mn 0.133 0.384 0.750 1
Mn4 Mn 0.226 0.000 0.000 1
Mn5 Mn 0.240 0.369 0.250 1
Fe1 Fe 0.250 0.250 0.000 1
```